NaTmS2 after structural relaxation, computed with PBE.

Results
Raw formation energy, eV per atom: -1.86
Density of states at the Fermi level, states/eV/atom: 0.000
Space group: R-3m

Lattice parameters (Å, degrees): 7.050 7.050 7.050 32.38 32.38 32.38
Element x y z (fractional)
Na (0.500, 0.500, 0.500)
Tm (0.000, 0.000, 0.000)
S (0.741, 0.741, 0.741)
S (0.259, 0.259, 0.259)